# Th8Te4IrPt3, optimized geometry, DFT PBE
# E, eV per cell: -235.027
data_Th8Te4IrPt3
_chemical_formula_sum 'Th16 Te8 Ir2 Pt6'
_cell_length_a 14.919
_cell_length_b 8.352
_cell_length_c 9.136
_cell_angle_alpha 90.00
_cell_angle_beta 123.12
_cell_angle_gamma 90.00
_space_group_name_H-M_alt 'C 1 2/m 1'
_space_group_IT_number 12
loop_
_space_group_symop_operation_xyz
'x,y,z'
'-x,-y,-z'
'-x,y,-z'
'x,-y,z'
'x+1/2,y+1/2,z'
'-x+1/2,-y+1/2,-z'
'-x+1/2,y+1/2,-z'
'x+1/2,-y+1/2,z'
loop_
_atom_site_label
_atom_site_fract_x
_atom_site_fract_y
_atom_site_fract_z
_atom_site_occupancy
Th1 0.011 0.246 0.292 1
Th2 0.236 0.000 0.708 1
Th3 0.238 0.500 0.709 1
Te1 0.000 0.000 0.000 1
Te2 0.000 0.500 0.000 1
Te3 0.250 0.250 0.000 1
Ir1 0.000 0.000 0.500 1
Pt1 0.000 0.500 0.500 1
Pt2 0.250 0.250 0.500 1